Below is crystalline La2TbSn2Pb5 at its relaxed geometry, with properties calculated at the PBE-GGA level.

The energy above the lowest structure with this stoichiometry is 0.00 eV per formula unit. Its magnetization is 0.0 μB/f.u. The energy comes out at -4.595 eV/atom.

The structure belongs to space group Cmmm (No. 65); the cell edges are 4.649, 26.435 and 4.789 Å and the angles 90.00°, 90.00° and 90.00°. The inequivalent atoms are La at (0.000, 0.187, 0.000), Tb at (0.000, 0.000, 0.000), Sn at (0.000, 0.289, 0.500), Pb at (0.000, 0.095, 0.500), Pb at (0.000, 0.406, 0.000) and Pb at (0.000, 0.500, 0.500).

=====

Below is crystalline La2TbSn5Pb2 at its relaxed geometry, with properties calculated at the PBE-GGA level.

The energy above the lowest structure with this stoichiometry is 0.04 eV per formula unit. Its magnetization is 0.0 μB/f.u. The energy comes out at -4.745 eV/atom.

The structure belongs to space group Cmmm (No. 65); the cell edges are 4.667, 26.198 and 4.700 Å and the angles 90.00°, 90.00° and 90.00°. The inequivalent atoms are La at (0.000, 0.187, 0.000), Tb at (0.000, 0.000, 0.000), Sn at (0.000, 0.094, 0.500), Sn at (0.000, 0.289, 0.500), Sn at (0.000, 0.500, 0.500) and Pb at (0.000, 0.407, 0.000).